1.
First-principles (PBEsol) data for a relaxed Ta2MnH crystal, as listed in the Alexandria database.

Computed properties:
Its electronic total energy is -9.1448 eV per atom. The symmetry is Fm-3m, No. 225.

Cell lengths 4.1677, 4.1677, 4.1677 Å; angles 60.00, 60.00, 60.00 degrees
Element x y z (fractional)
H  0.0000  0.0000  0.0000
Mn  0.5000  0.5000  0.5000
Ta  0.2500  0.2500  0.2500
Ta  0.7500  0.7500  0.7500

2.
First-principles (PBEsol) data for a relaxed TaCoCu3 crystal, as listed in the Alexandria database.

Computed properties:
The energy of formation is 2.063 eV per atom. The symmetry is Pm-3m, No. 221.

Cell lengths 4.6264, 4.6264, 4.6264 Å; angles 90.00, 90.00, 90.00 degrees
Last column: magnetic moment on the atom in μB.
Element x y z (fractional)
Co  0.5000  0.5000  0.5000  2.17
Cu  0.0000  0.5000  0.0000  0.01
Cu  0.0000  0.0000  0.5000  0.01
Cu  0.5000  0.0000  0.0000  0.01
Ta  0.0000  0.0000  0.0000  0.05

3.
First-principles (PBEsol) data for a relaxed TaCdMo4 crystal, as listed in the Alexandria database.

Computed properties:
The energy of formation is 0.259 eV per atom. The symmetry is F-43m, No. 216.

Cell lengths 5.2144, 5.2144, 5.2144 Å; angles 60.00, 60.00, 60.00 degrees
Element x y z (fractional)
Cd  0.0000  0.0000  0.0000
Mo  0.3743  0.3743  0.3743
Mo  0.3743  0.3743  0.8772
Mo  0.8772  0.3743  0.3743
Mo  0.3743  0.8772  0.3743
Ta  0.7500  0.7500  0.7500

4.
First-principles (PBEsol) data for a relaxed LaPRuCl2 crystal, as listed in the Alexandria database.

Computed properties:
Its electronic total energy is -5.7521 eV per atom. The symmetry is P4/mmm, No. 123.

Cell lengths 4.6321, 4.6683, 4.6683 Å; angles 90.00, 90.00, 90.00 degrees
Element x y z (fractional)
Ru  0.0000  0.0000  0.0000
Cl  0.0000  0.0000  0.5000
Cl  0.0000  0.5000  0.0000
P  0.5000  0.0000  0.0000
La  0.5000  0.5000  0.5000

5.
First-principles (PBEsol) data for a relaxed P2OsSe crystal, as listed in the Alexandria database.

Computed properties:
Its electronic total energy is -6.2270 eV per atom. The symmetry is Cmmm, No. 65.

Cell lengths 3.0170, 4.4472, 4.4472 Å; angles 103.91, 90.00, 90.00 degrees
Element x y z (fractional)
Os  0.5000  0.5000  0.5000
P  0.0000  0.5000  0.0000
P  0.0000  0.0000  0.5000
Se  0.5000  0.0000  0.0000

6.
First-principles (PBEsol) data for a relaxed InSbTe2C crystal, as listed in the Alexandria database.

Computed properties:
Its electronic total energy is -2.8058 eV per atom. The symmetry is P4/mmm, No. 123.

Cell lengths 5.5257, 5.5679, 5.5679 Å; angles 90.00, 90.00, 90.00 degrees
Last column: magnetic moment on the atom in μB.
Element x y z (fractional)
Sb  0.5000  0.0000  0.0000  -0.07
C  0.5000  0.5000  0.5000  0.87
Te  0.0000  0.0000  0.5000  -0.07
Te  0.0000  0.5000  0.0000  -0.07
In  0.0000  0.0000  0.0000  0.01

7.
First-principles (PBEsol) data for a relaxed Mn2NiAu crystal, as listed in the Alexandria database.

Computed properties:
The energy of formation is 0.282 eV per atom. The value obtained for the polymorph energy (0 for the lowest one) is 0.135 eV per atom. The symmetry is R-3m, No. 166.

Cell lengths 2.7807, 2.7807, 8.3928 Å; angles 80.46, 80.46, 60.00 degrees
Last column: magnetic moment on the atom in μB.
Element x y z (fractional)
Au  0.5000  0.5000  0.5000  0.08
Mn  0.2576  0.2576  0.2273  3.43
Mn  0.7424  0.7424  0.7727  3.43
Ni  0.0000  0.0000  0.0000  0.74

8.
First-principles (PBEsol) data for a relaxed K2TiFeRe crystal, as listed in the Alexandria database.

Computed properties:
The energy of formation is 2.024 eV per atom. The symmetry is P4/mmm, No. 123.

Cell lengths 4.5177, 6.1980, 6.1980 Å; angles 90.00, 90.00, 90.00 degrees
Last column: magnetic moment on the atom in μB.
Element x y z (fractional)
Re  0.0000  0.0000  0.0000  0.71
K  0.0000  0.0000  0.5000  0.00
K  0.0000  0.5000  0.0000  0.00
Fe  0.5000  0.5000  0.5000  3.26
Ti  0.5000  0.0000  0.0000  -0.45

What are the magnetization values for these records? In order: 0.00, 2.25, 0.00, 0.00, 0.00, 1.46, 7.89, 3.44 μB per cell.